Record 1
First-principles (PBE-GGA) data for a geometry-optimized CsHfSc2Ni structure, as listed in Alexandria.

```
CsHfSc2Ni
1.0
5.297 0.000 0.000
0.000 5.297 0.000
0.000 0.000 6.087
Cs Hf Sc Ni
1 1 2 1
Direct
0.000 0.000 0.000 Cs
0.000 0.000 0.500 Hf
0.000 0.500 0.500 Sc
0.500 0.000 0.500 Sc
0.500 0.500 0.000 Ni
```

**E_form**: 1.60 eV/atom
**Volume**: 34.2 Å³/atom
**Spin magnetization**: 0.8 μB per formula unit

---

Record 2
First-principles (PBE-GGA) data for a geometry-optimized SmTm4Zn structure, as listed in Alexandria.

```
SmTm4Zn
1.0
3.516 0.000 0.000
0.000 3.516 0.000
0.000 0.000 13.613
Sm Tm Zn
1 4 1
Direct
0.000 0.000 0.000 Sm
0.000 0.000 0.371 Tm
0.000 0.000 0.629 Tm
0.500 0.500 0.186 Tm
0.500 0.500 0.814 Tm
0.500 0.500 0.500 Zn
```

**E_form**: -0.10 eV/atom
**Volume**: 28.0 Å³/atom
**Spin magnetization**: 0.0 μB per formula unit

---

Record 3
First-principles (PBE-GGA) data for a geometry-optimized Zr3CdH structure, as listed in Alexandria.

```
Zr3CdH
1.0
6.951 -2.207 0.000
6.951 2.207 0.000
-2.265 0.000 6.378
Zr Cd H
6 2 2
Direct
0.050 0.050 0.311 Zr
0.281 0.281 0.672 Zr
0.389 0.389 0.334 Zr
0.611 0.611 0.666 Zr
0.719 0.719 0.328 Zr
0.950 0.950 0.689 Zr
0.172 0.172 0.000 Cd
0.828 0.828 0.000 Cd
0.445 0.445 0.667 H
0.555 0.555 0.333 H
```

**E**: -6.0753 eV/atom
**Volume**: 19.6 Å³/atom
**Spin magnetization**: 0.0 μB per formula unit

---

Record 4
First-principles (PBE-GGA) data for a geometry-optimized La2Pm2HoIn5 structure, as listed in Alexandria.

```
La2Pm2HoIn5
1.0
11.191 0.000 0.000
0.000 11.191 0.000
0.000 0.000 4.681
La Pm Ho In
4 4 2 10
Direct
0.177 0.323 0.000 La
0.323 0.823 0.000 La
0.677 0.177 0.000 La
0.823 0.677 0.000 La
0.129 0.629 0.000 Pm
0.371 0.129 0.000 Pm
0.629 0.871 0.000 Pm
0.871 0.371 0.000 Pm
0.000 0.000 0.000 Ho
0.500 0.500 0.000 Ho
0.000 0.500 0.500 In
0.058 0.810 0.500 In
0.190 0.058 0.500 In
0.310 0.558 0.500 In
0.442 0.310 0.500 In
0.500 0.000 0.500 In
0.558 0.690 0.500 In
0.690 0.442 0.500 In
0.810 0.942 0.500 In
0.942 0.190 0.500 In
```

**E_form**: -0.36 eV/atom
**Volume**: 29.3 Å³/atom
**Spin magnetization**: 0.0 μB per formula unit

---

Among the records above, which one has the highest volume?
CsHfSc2Ni

---

Repeat the second record exactly.
First-principles (PBE-GGA) data for a geometry-optimized SmTm4Zn structure, as listed in Alexandria.

```
SmTm4Zn
1.0
3.516 0.000 0.000
0.000 3.516 0.000
0.000 0.000 13.613
Sm Tm Zn
1 4 1
Direct
0.000 0.000 0.000 Sm
0.000 0.000 0.371 Tm
0.000 0.000 0.629 Tm
0.500 0.500 0.186 Tm
0.500 0.500 0.814 Tm
0.500 0.500 0.500 Zn
```

**E_form**: -0.10 eV/atom
**Volume**: 28.0 Å³/atom
**Spin magnetization**: 0.0 μB per formula unit

---

Among the records above, which one has the highest volume?
CsHfSc2Ni

---

What is the spin magnetization in the third record?
0.0 μB per formula unit